A:
DFT (PBE) results for a geometry-optimized SmZr2Ga6 structure.

Results
volume	20.534	A^3/atom
SG	Immm (71)
D(E_F)	0.566	states/eV per atom

The structure in extended XYZ format:
```
9
Lattice="-2.0927 3.4273 6.4416 2.0927 -3.4273 6.4416 2.0927 3.4273 -6.4416" Properties=species:S:1:pos:R:3 pbc="T T T"
Sm 0.0000 0.0000 0.0000
Zr 2.0927 0.0000 4.8889
Zr 0.0000 3.4273 1.5527
Ga 2.0927 1.4073 -2.4474
Ga 2.0927 2.1683 0.0000
Ga 2.0927 1.4073 2.4474
Ga 0.0000 2.0201 3.9942
Ga 0.0000 1.2590 6.4416
Ga 0.0000 2.0201 8.8890
```



B:
DFT (PBE) results for a geometry-optimized SmZr2Ga6 structure.

Results
volume	19.214	A^3/atom
SG	P6/mmm (191)
D(E_F)	0.370	states/eV per atom

The structure in extended XYZ format:
```
9
Lattice="7.2289 0.0000 0.0000 -3.6145 6.2604 0.0000 0.0000 0.0000 3.8212" Properties=species:S:1:pos:R:3 pbc="T T T"
Sm 0.0000 0.0000 0.0000
Zr 0.0000 4.1736 0.0000
Zr 3.6145 2.0868 0.0000
Ga -1.2168 2.1075 1.9106
Ga -2.3977 4.1529 1.9106
Ga 2.4336 0.0000 1.9106
Ga 1.2168 2.1075 1.9106
Ga 4.7953 0.0000 1.9106
Ga 2.3977 4.1529 1.9106
```



Name the most stable of them. B.